1) # Pm2Er3Zn2

Pm2Er3Zn2 after structural relaxation (PBE, Alexandria).

abc: 6.2032 6.2032 8.0841
angles: 114.88 114.88 44.73
Closest atoms and distances in Å follow each position.
Sites, in units of the cell vectors:
Pm 0.1362 0.1362 0.2915  4 Zn 3.19-3.41, 2 Er 3.55
Pm 0.8638 0.8638 0.7085  4 Zn 3.19-3.41, 2 Er 3.55
Er 0.3659 0.3659 0.0381  1 Zn 2.80
Er 0.5000 0.5000 0.5000  4 Zn 2.89
Er 0.6341 0.6341 0.9619  1 Zn 2.80
Zn 0.1442 0.1442 0.6911  3 Er 2.80-2.89
Zn 0.8558 0.8558 0.3089  3 Er 2.80-2.89

Summary:
The calculation puts the magnetization at 0.00 μB per cell. The value obtained for the mass density is 7.86 Mg/m³. Its space group is C2/m, No. 12.



2) # Pm2Er3Zn2

Pm2Er3Zn2 after structural relaxation (PBE, Alexandria).

abc: 15.2478 15.2478 3.5246
angles: 90.00 90.00 166.41
Closest atoms and distances in Å follow each position.
Sites, in units of the cell vectors:
Pm 0.1987 0.8013 0.0000  4 Zn 3.14
Pm 0.8013 0.1987 0.0000  4 Zn 3.14
Er 0.0815 0.9185 0.0000  4 Zn 3.02
Er 0.5000 0.5000 0.5000  12 Er 3.52-3.61
Er 0.9185 0.0815 0.0000  4 Zn 3.02
Zn 0.3633 0.6367 0.5000  4 Er 3.02, 4 Pm 3.14
Zn 0.6367 0.3633 0.5000  4 Er 3.02, 4 Pm 3.14

Summary:
The calculation puts the magnetization at 0.64 μB per cell. The value obtained for the mass density is 7.96 Mg/m³. Its space group is Cmmm, No. 65.



Stability ranking, top and bottom: 2) is the most stable and 1) is the least stable.



1) # PmEr2Zn

PmEr2Zn after structural relaxation (PBE, Alexandria).

abc: 4.7424 4.7424 4.7611
angles: 90.00 90.00 90.00
Closest atoms and distances in Å follow each position.
Sites, in units of the cell vectors:
Pm 0.0000 0.0000 0.0000  4 Zn 3.35, 8 Er 3.36
Er 0.0000 0.5000 0.5000  4 Er 3.35, 4 Pm 3.36, 4 Zn 3.36
Er 0.5000 0.0000 0.5000  4 Er 3.35, 4 Pm 3.36, 4 Zn 3.36
Zn 0.5000 0.5000 0.0000  4 Pm 3.35, 8 Er 3.36

Summary:
The calculation puts the magnetization at 0.01 μB per cell. The value obtained for the mass density is 8.45 Mg/m³. Its space group is P4/mmm, No. 123.



2) # PmEr2Zn

PmEr2Zn after structural relaxation (PBE, Alexandria).

abc: 3.5541 3.5541 8.6756
angles: 90.00 90.00 90.00
Closest atoms and distances in Å follow each position.
Sites, in units of the cell vectors:
Pm 0.0000 0.0000 0.0000  4 Pm 3.55, 8 Er 3.61
Er 0.5000 0.5000 0.2980  4 Zn 3.06
Er 0.5000 0.5000 0.7020  4 Zn 3.06
Zn 0.0000 0.0000 0.5000  8 Er 3.06

Summary:
The calculation puts the magnetization at 0.00 μB per cell. The value obtained for the mass density is 8.26 Mg/m³. Its space group is P4/mmm, No. 123.



Stability ranking, top and bottom: 2) is the most stable and 1) is the least stable.



1) # PmEr2Zn

PmEr2Zn after structural relaxation (PBE, Alexandria).

abc: 10.4978 10.4978 10.4978
angles: 19.53 19.53 19.53
Closest atoms and distances in Å follow each position.
Sites, in units of the cell vectors:
Pm 0.0000 0.0000 0.0000  6 Pm 3.56, 6 Er 3.59
Er 0.2382 0.2382 0.2382  3 Zn 3.02
Er 0.7618 0.7618 0.7618  3 Zn 3.02
Zn 0.5000 0.5000 0.5000  6 Er 3.02

Summary:
The calculation puts the magnetization at 0.00 μB per cell. The value obtained for the mass density is 8.01 Mg/m³. Its space group is R-3m, No. 166.



2) # PmEr2Zn

PmEr2Zn after structural relaxation (PBE, Alexandria).

abc: 10.4568 10.4568 10.4568
angles: 19.75 19.75 19.75
Closest atoms and distances in Å follow each position.
Sites, in units of the cell vectors:
Pm 0.0000 0.0000 0.0000  6 Pm 3.59, 6 Er 3.59-3.62
Er 0.5701 0.5701 0.5701  3 Zn 3.01
Er 0.7622 0.7622 0.7622  3 Zn 2.99
Zn 0.1658 0.1658 0.1658  6 Er 2.99-3.01

Summary:
The calculation puts the magnetization at 0.00 μB per cell. The value obtained for the mass density is 7.93 Mg/m³. Its space group is R3m, No. 160.



Stability ranking, top and bottom: 1) is the most stable and 2) is the least stable.



1) # PmErZn3

PmErZn3 after structural relaxation (PBE, Alexandria).

abc: 13.5741 13.5741 4.5092
angles: 90.00 90.00 164.58
Closest atoms and distances in Å follow each position.
Sites, in units of the cell vectors:
Pm 0.0741 0.9259 0.7500  12 Zn 3.16-3.27
Pm 0.9259 0.0741 0.2500  12 Zn 3.16-3.27
Er 0.2099 0.7901 0.2500  7 Zn 3.01-3.10
Er 0.7901 0.2099 0.7500  7 Zn 3.01-3.10
Zn 0.3250 0.6750 0.2500  2 Zn 2.68
Zn 0.3790 0.6210 0.7500  3 Zn 2.62-2.68
Zn 0.4763 0.5237 0.7500  3 Zn 2.59-2.62
Zn 0.5237 0.4763 0.2500  3 Zn 2.59-2.62
Zn 0.6210 0.3790 0.2500  3 Zn 2.62-2.68
Zn 0.6750 0.3250 0.7500  2 Zn 2.68

Summary:
The calculation puts the magnetization at 0.00 μB per cell. The value obtained for the mass density is 7.64 Mg/m³. Its space group is Cmcm, No. 63.



2) # PmErZn3

PmErZn3 after structural relaxation (PBE, Alexandria).

abc: 7.5737 7.5737 6.3611
angles: 99.21 99.21 37.41
Closest atoms and distances in Å follow each position.
Sites, in units of the cell vectors:
Pm 0.1124 0.1124 0.4522  6 Zn 2.90-3.12
Pm 0.8876 0.8876 0.5478  6 Zn 2.90-3.12
Er 0.3188 0.3188 0.8922  7 Zn 2.91-3.19
Er 0.6812 0.6812 0.1078  7 Zn 2.91-3.19
Zn 0.0778 0.0778 0.9118  3 Zn 2.66-2.80
Zn 0.3007 0.3007 0.3413  1 Zn 2.74, 3 Pm 2.90-2.94, 1 Er 2.91
Zn 0.4851 0.4851 0.2809  4 Zn 2.74-2.80
Zn 0.5149 0.5149 0.7191  4 Zn 2.74-2.80
Zn 0.6993 0.6993 0.6587  1 Zn 2.74, 3 Pm 2.90-2.94, 1 Er 2.91
Zn 0.9222 0.9222 0.0882  3 Zn 2.66-2.80

Summary:
The calculation puts the magnetization at 0.00 μB per cell. The value obtained for the mass density is 7.73 Mg/m³. Its space group is C2/m, No. 12.



Stability ranking, top and bottom: 1) is the most stable and 2) is the least stable.